The following is a PBE+U calculation of an optimized crystal structure of HfMgMn2O6, from Alexandria.

Structure (extended XYZ):
```
10
Lattice="5.161 0.006 -0.012 2.586 4.454 -0.010 2.571 1.482 4.615" Properties=species:S:1:pos:R:3 pbc="T T T"
Hf 2.564 1.479 0.340
Mg 7.744 4.453 2.622
Mn 5.162 2.970 2.107
Mn 2.583 1.488 4.399
O 4.460 1.401 1.100
O 4.152 4.346 1.112
O 6.893 3.176 1.078
O 5.843 4.341 3.422
O 6.000 1.701 3.420
O 3.609 2.864 3.440
```

Properties
The calculation puts the total DFT energy (no corrections) at -7.7364 eV per atom.